Record 1
! PBE In4Ga2Sn3, optimized geometry; values from VASP
! **Uncorrected energy**: -28.673 eV/cell
&SYSTEM
  ibrav = 0, nat = 9, ntyp = 3
/
ATOMIC_SPECIES
In 114.82 In.upf
Ga 69.72 Ga.upf
Sn 118.71 Sn.upf
CELL_PARAMETERS angstrom
5.2673 -2.4911 0.0000
5.2673 2.4911 0.0000
-3.2947 0.0000 8.8388
ATOMIC_POSITIONS angstrom
In -0.4895 0.0000 1.5011
In 1.5254 0.0000 5.3618
In 5.7146 0.0000 3.4770
In 7.7294 0.0000 7.3376
Ga 2.6290 0.0000 2.4697
Ga 4.6110 0.0000 6.3691
Sn -1.6473 0.0000 4.4194
Sn 0.3526 0.0000 8.3612
Sn 6.8873 0.0000 0.4776

***

Record 2
! PBE K3MgSn, optimized geometry; values from VASP
! **Distance to the lowest polymorph of the same formula**: 0.277 eV per atom
&SYSTEM
  ibrav = 0, nat = 5, ntyp = 3
/
ATOMIC_SPECIES
K 39.10 K.upf
Mg 24.30 Mg.upf
Sn 118.71 Sn.upf
CELL_PARAMETERS angstrom
6.8469 0.0000 0.0000
0.0000 6.8469 0.0000
0.0000 0.0000 6.8469
ATOMIC_POSITIONS angstrom
K 0.0000 0.0000 3.4235
K 0.0000 3.4235 0.0000
K 3.4235 0.0000 0.0000
Mg 3.4235 3.4235 3.4235
Sn 0.0000 0.0000 0.0000

***

Record 3
! PBE HfZr2Mn, optimized geometry; values from VASP
! **Distance to the lowest polymorph of the same formula**: 0.000 eV per atom
&SYSTEM
  ibrav = 0, nat = 4, ntyp = 3
/
ATOMIC_SPECIES
Hf 178.49 Hf.upf
Zr 91.22 Zr.upf
Mn 54.94 Mn.upf
CELL_PARAMETERS angstrom
3.2406 0.0000 0.0000
0.0000 3.2406 0.0000
0.0000 0.0000 7.3947
ATOMIC_POSITIONS angstrom
Hf 0.0000 0.0000 0.0000
Zr 1.6203 1.6203 2.1446
Zr 1.6203 1.6203 5.2501
Mn 0.0000 0.0000 3.6974